No. 1
## Mn2Au3 (PBEsol)

Data for a relaxed Mn2Au3 crystal.

Lattice parameters (Å, degrees): 2.917 2.917 9.315 99.01 99.01 90.00
Site moments in Bohr magnetons follow the coordinates.
Fractional coordinates of all 5 atoms:
Au: 0.112 0.112 0.224  0.07
Au: 0.500 0.500 0.000  0.00
Au: 0.888 0.888 0.776  0.07
Mn: 0.294 0.294 0.588  3.26
Mn: 0.706 0.706 0.412  3.26

Output
formation energy from the elements	0.77	eV/f.u.
energy relative to the lowest polymorph listed for this composition	12.2	kJ per mole of atoms
space-group type	No. 139

***

No. 2
## NaHoPd6O8 (PBEsol)

Data for a relaxed NaHoPd6O8 crystal.

Lattice parameters (Å, degrees): 5.715 5.715 5.715 90.00 90.00 90.00
Fractional coordinates of all 16 atoms:
Na: 0.500 0.500 0.500
Ho: 0.000 0.000 0.000
Pd: 0.250 0.000 0.500
Pd: 0.750 0.000 0.500
Pd: 0.500 0.250 0.000
Pd: 0.500 0.750 0.000
Pd: 0.000 0.500 0.250
Pd: 0.000 0.500 0.750
O: 0.241 0.241 0.241
O: 0.759 0.759 0.759
O: 0.759 0.759 0.241
O: 0.759 0.241 0.759
O: 0.241 0.241 0.759
O: 0.241 0.759 0.241
O: 0.241 0.759 0.759
O: 0.759 0.241 0.241

Output
energy relative to the elements, uncorrected	-1.1586	eV per atom
space-group type	No. 200

***

Taking the records one at a time from the top gives VASP energy values of -6.105; -6.415 eV/atom.